(1)
This record from Alexandria via LeMat-Bulk describes an optimized crystal structure of PaTaCu4. The functional is PBE.

```
PaTaCu4
1.0
0.0000 3.5596 3.5596
3.5596 0.0000 3.5596
3.5596 3.5596 0.0000
Pa Ta Cu
1 1 4
direct
0.0000 0.0000 0.0000
0.2500 0.2500 0.2500
0.1291 0.6236 0.6236
0.6236 0.1291 0.6236
0.6236 0.6236 0.1291
0.6236 0.6236 0.6236
```

Summary:
* SG: F-43m
* spin magnetization: 0.00 Bohr magnetons per cell
* energy: -6.221 eV/atom

=====

(2)
This record from Alexandria via LeMat-Bulk describes an optimized crystal structure of TbPaCu4. The functional is PBE.

```
TbPaCu4
1.0
0.0000 3.6936 3.6936
3.6936 0.0000 3.6936
3.6936 3.6936 0.0000
Tb Pa Cu
1 1 4
direct
0.0000 0.0000 0.0000
0.2500 0.2500 0.2500
0.1250 0.6250 0.6250
0.6250 0.1250 0.6250
0.6250 0.6250 0.1250
0.6250 0.6250 0.6250
```

Summary:
* SG: F-43m
* spin magnetization: 0.00 Bohr magnetons per cell
* energy: -5.105 eV/atom

=====

(3)
This record from Alexandria via LeMat-Bulk describes an optimized crystal structure of Tb2PaCu9. The functional is PBE.

```
Tb2PaCu9
1.0
2.5832 1.4914 8.2750
-2.5832 1.4914 8.2750
0.0000 -2.9829 8.2750
Tb Pa Cu
2 1 9
direct
0.1425 0.1425 0.1425
0.8575 0.8575 0.8575
0.0000 0.0000 0.0000
0.0836 0.5803 0.5803
0.3320 0.3320 0.3320
0.4197 0.4197 0.9164
0.4197 0.9164 0.4197
0.5000 0.5000 0.5000
0.5803 0.0836 0.5803
0.5803 0.5803 0.0836
0.6680 0.6680 0.6680
0.9164 0.4197 0.4197
```

Summary:
* SG: R-3m
* spin magnetization: 0.38 Bohr magnetons per cell
* energy: -4.735 eV/atom

=====

(4)
This record from Alexandria via LeMat-Bulk describes an optimized crystal structure of TbPaCu10. The functional is PBE.

```
TbPaCu10
1.0
4.1047 0.0000 0.0000
0.0000 5.0522 0.0000
0.0000 0.0000 8.6777
Tb Pa Cu
1 1 10
direct
0.0000 0.0000 0.0000
0.0000 0.5000 0.5000
0.0000 0.0000 0.3336
0.0000 0.0000 0.6664
0.0000 0.5000 0.1671
0.0000 0.5000 0.8329
0.5000 0.0000 0.5000
0.5000 0.2528 0.2529
0.5000 0.2528 0.7471
0.5000 0.5000 0.0000
0.5000 0.7472 0.2529
0.5000 0.7472 0.7471
```

Summary:
* SG: Pmmm
* spin magnetization: 0.53 Bohr magnetons per cell
* energy: -4.680 eV/atom

=====

(5)
This record from Alexandria via LeMat-Bulk describes an optimized crystal structure of PaCuTc. The functional is PBE.

```
PaCuTc
1.0
-1.7631 1.7631 4.4639
1.7631 -1.7631 4.4639
1.7631 1.7631 -4.4639
Pa Cu Tc
1 1 1
direct
0.0000 0.0000 0.0000
0.6880 0.6880 0.0000
0.3659 0.3659 0.0000
```

Summary:
* SG: I4mm
* energy relative to the lowest polymorph listed for this composition: 22 meV/atom
* spin magnetization: 0.00 Bohr magnetons per cell
* energy: -7.877 eV/atom

=====

(6)
This record from Alexandria via LeMat-Bulk describes an optimized crystal structure of PaCu2Tc. The functional is PBE.

```
PaCu2Tc
1.0
4.7289 0.0000 0.0000
0.0000 6.2751 0.0000
-1.4662 0.0000 4.6066
Pa Cu Tc
2 4 2
direct
0.0805 0.2500 0.1672
0.9195 0.7500 0.8328
0.4082 0.0516 0.7278
0.4082 0.4484 0.7278
0.5918 0.5516 0.2722
0.5918 0.9484 0.2722
0.1212 0.7500 0.3429
0.8788 0.2500 0.6571
```

Summary:
* SG: P2_1/m
* energy relative to the lowest polymorph listed for this composition: 0 meV/atom
* spin magnetization: 0.00 Bohr magnetons per cell
* energy: -7.054 eV/atom